The following is a DFT calculation (PBE+U) of a geometry-optimized MgNiAu2O6 structure.

Properties
Crystal system = monoclinic
DFT total energy = -4.6896 eV per atom

Cell lengths 5.0309, 6.9892, 6.9892 Å; angles 88.31, 89.23, 89.23 degrees
Closest atoms and distances in Å follow each position.
Fractional coordinates of all 20 atoms:
1 Mg 0.2500 0.3922 0.6078  6 O 2.04-2.19
2 Mg 0.7500 0.6078 0.3922  6 O 2.04-2.19
3 Ni 0.2500 0.9048 0.0952  4 O 1.96-2.03
4 Ni 0.7500 0.0952 0.9048  4 O 1.96-2.03
5 Au 0.2720 0.8963 0.6023  4 O 1.95-2.07
6 Au 0.2280 0.3977 0.1037  4 O 1.95-2.07
7 Au 0.7280 0.1037 0.3977  4 O 1.95-2.07
8 Au 0.7720 0.6023 0.8963  4 O 1.95-2.07
9 O 0.0691 0.9460 0.8384  2 Ni 1.96-2.03, 1 Au 1.97
10 O 0.4309 0.1616 0.0540  2 Ni 1.96-2.03, 1 Au 1.97
11 O 0.9309 0.0540 0.1616  2 Ni 1.96-2.03, 1 Au 1.97
12 O 0.5691 0.8384 0.9460  2 Ni 1.96-2.03, 1 Au 1.97
13 O 0.4977 0.8647 0.3574  2 Au 2.06-2.07, 1 Mg 2.19, 1 Ni 2.24
14 O 0.0023 0.6426 0.1353  2 Au 2.06-2.07, 1 Mg 2.19, 1 Ni 2.24
15 O 0.5023 0.1353 0.6426  2 Au 2.06-2.07, 1 Mg 2.19, 1 Ni 2.24
16 O 0.9977 0.3574 0.8647  2 Au 2.06-2.07, 1 Mg 2.19, 1 Ni 2.24
17 O 0.0772 0.6653 0.5479  1 Au 1.95, 2 Mg 2.04-2.12
18 O 0.4228 0.4521 0.3347  1 Au 1.95, 2 Mg 2.04-2.12
19 O 0.9228 0.3347 0.4521  1 Au 1.95, 2 Mg 2.04-2.12
20 O 0.5772 0.5479 0.6653  1 Au 1.95, 2 Mg 2.04-2.12